Below is CsFePb2Br8 after structural relaxation, with properties calculated at the PBE level.

Computed properties:
Raw formation energy (eV/atom): -0.855
Space group: P-1 (2)
Final energy (eV per atom): -3.365

Lattice parameters (Å, degrees): 7.117 7.609 9.511 57.83 89.62 89.25
Each line ends with the local moment (μB).
Positions (direct):
Pb: 0.539 0.250 0.761  0.00
Pb: 0.461 0.750 0.239  0.00
Cs: 0.000 0.000 0.500  0.00
Br: 0.514 0.284 0.438  0.00
Br: 0.238 0.177 0.064  -0.01
Br: 0.040 0.688 0.279  -0.01
Br: 0.245 0.870 0.896  -0.01
Br: 0.755 0.130 0.104  -0.01
Br: 0.762 0.823 0.936  -0.01
Br: 0.486 0.716 0.562  0.00
Br: 0.960 0.312 0.721  -0.01
Fe: 0.000 0.000 0.000  1.02